KTlCdHg2 | PBE-GGA | relaxed

Its space group is I-4m2. As for the total DFT energy (no corrections): -5.64 eV per cell. The magnetic moment is 0.00 μB per formula unit.

Geometry as CIF:
```
data_KTlCdHg2
_chemical_formula_sum 'K1 Tl1 Cd1 Hg2'
_cell_length_a 7.5458
_cell_length_b 7.5458
_cell_length_c 7.5458
_cell_angle_alpha 142.21
_cell_angle_beta 142.21
_cell_angle_gamma 54.51
_space_group_name_H-M_alt 'P 1'
_space_group_IT_number 1
loop_
_space_group_symop_operation_xyz
'x,y,z'
loop_
_atom_site_label
_atom_site_fract_x
_atom_site_fract_y
_atom_site_fract_z
_atom_site_occupancy
K1 0.0000 0.0000 0.0000 1
Tl1 0.7500 0.2500 0.5000 1
Cd1 0.2500 0.7500 0.5000 1
Hg1 0.3906 0.3906 0.0000 1
Hg2 0.6094 0.6094 0.0000 1
```

=====

K2Tl3CdHg4 | PBE-GGA | relaxed

Its space group is P-4m2. As for the total DFT energy (no corrections): -12.57 eV per cell. The magnetic moment is 0.00 μB per formula unit.

Geometry as CIF:
```
data_K2Tl3CdHg4
_chemical_formula_sum 'K2 Tl3 Cd1 Hg4'
_cell_length_a 5.6517
_cell_length_b 5.6517
_cell_length_c 10.6094
_cell_angle_alpha 90.00
_cell_angle_beta 90.00
_cell_angle_gamma 90.00
_space_group_name_H-M_alt 'P 1'
_space_group_IT_number 1
loop_
_space_group_symop_operation_xyz
'x,y,z'
loop_
_atom_site_label
_atom_site_fract_x
_atom_site_fract_y
_atom_site_fract_z
_atom_site_occupancy
K1 0.0000 0.5000 0.2471 1
K2 0.5000 0.0000 0.7529 1
Tl1 0.0000 0.5000 0.8834 1
Tl2 0.5000 0.0000 0.1166 1
Tl3 0.5000 0.5000 0.5000 1
Cd1 0.0000 0.0000 0.5000 1
Hg1 0.0000 0.0000 0.0000 1
Hg2 0.0000 0.5000 0.6024 1
Hg3 0.5000 0.0000 0.3976 1
Hg4 0.5000 0.5000 0.0000 1
```

=====

KTl2Cd2Hg5 | PBE-GGA | relaxed

Its space group is P4/mbm. As for the total DFT energy (no corrections): -19.38 eV per cell. The magnetic moment is 0.00 μB per formula unit.

Geometry as CIF:
```
data_KTl2Cd2Hg5
_chemical_formula_sum 'K2 Tl4 Cd4 Hg10'
_cell_length_a 10.8196
_cell_length_b 10.8196
_cell_length_c 4.9174
_cell_angle_alpha 90.00
_cell_angle_beta 90.00
_cell_angle_gamma 90.00
_space_group_name_H-M_alt 'P 1'
_space_group_IT_number 1
loop_
_space_group_symop_operation_xyz
'x,y,z'
loop_
_atom_site_label
_atom_site_fract_x
_atom_site_fract_y
_atom_site_fract_z
_atom_site_occupancy
K1 0.0000 0.0000 0.0000 1
K2 0.5000 0.5000 0.0000 1
Tl1 0.1638 0.3362 0.0000 1
Tl2 0.3362 0.8362 0.0000 1
Tl3 0.6638 0.1638 0.0000 1
Tl4 0.8362 0.6638 0.0000 1
Cd1 0.1283 0.6283 0.0000 1
Cd2 0.3717 0.1283 0.0000 1
Cd3 0.6283 0.8717 0.0000 1
Cd4 0.8717 0.3717 0.0000 1
Hg1 0.0000 0.5000 0.5000 1
Hg2 0.1030 0.8106 0.5000 1
Hg3 0.1894 0.1030 0.5000 1
Hg4 0.3106 0.6030 0.5000 1
Hg5 0.3970 0.3106 0.5000 1
Hg6 0.5000 0.0000 0.5000 1
Hg7 0.6030 0.6894 0.5000 1
Hg8 0.6894 0.3970 0.5000 1
Hg9 0.8106 0.8970 0.5000 1
Hg10 0.8970 0.1894 0.5000 1
```